No. 1
Tb5SnTe5, relaxed, DFT PBE-GGA; crystal system = monoclinic
1.0
6.1957 0.0000 0.0000
-3.0978 6.4809 -2.4347
0.0000 0.3375 8.7273
Tb Te Sn
5 5 1
direct
0.8376 0.6751 0.1684
0.1624 0.3249 0.8316
0.5000 0.0000 0.0000
0.8375 0.6750 0.6697
0.1625 0.3250 0.3303
0.3337 0.6673 0.6631
0.6663 0.3327 0.3369
0.6660 0.3321 0.8297
0.0000 0.0000 0.5000
0.3340 0.6679 0.1703
0.0000 0.0000 0.0000

No. 2
RbLa3Rh, relaxed, DFT PBE-GGA; crystal system = cubic; energy above the lowest structure with this stoichiometry = 0 meV/atom; ΔH_f (0 K) = -0.093 eV/atom
1.0
5.8335 0.0000 0.0000
0.0000 5.8335 0.0000
0.0000 0.0000 5.8335
La Rb Rh
3 1 1
direct
0.0000 0.5000 0.0000
0.0000 0.0000 0.5000
0.5000 0.0000 0.0000
0.5000 0.5000 0.5000
0.0000 0.0000 0.0000

No. 3
LaTa2Pt, relaxed, DFT PBE-GGA; crystal system = tetragonal; energy above the lowest structure with this stoichiometry = 406 meV/atom; ΔH_f (0 K) = 0.243 eV/atom
1.0
-3.9143 0.9827 0.1891
0.1287 -0.2631 4.0296
0.7453 10.7535 2.7036
La Pt Ta
2 2 4
direct
0.2500 0.7500 0.5000
0.5000 0.5000 0.0000
0.7500 0.2500 0.5000
0.0000 0.0000 0.0000
0.1094 0.6250 0.2500
0.3750 0.3594 0.7500
0.8750 0.8906 0.7500
0.6406 0.1250 0.2500

No. 4
CoNiB, relaxed, DFT PBE-GGA; crystal system = cubic; ΔH_f (0 K) = -0.159 eV/atom
1.0
3.4253 0.0000 0.0000
1.7127 2.9664 0.0000
1.7127 0.9888 2.7968
Co Ni B
1 1 1
direct
0.5000 0.5000 0.5000
0.0000 0.0000 0.0000
0.2500 0.2500 0.2500

No. 5
Tb6NdEr2, relaxed, DFT PBE-GGA; crystal system = monoclinic; energy above the lowest structure with this stoichiometry = 88 meV/atom; ΔH_f (0 K) = 0.105 eV/atom
1.0
-4.3521 -0.0995 -4.9436
6.0508 -1.2995 -7.2813
-2.7606 -9.1267 0.6333
Tb Er Nd
12 4 2
direct
0.5019 0.6482 0.2803
0.7266 0.0609 0.4623
0.2734 0.9391 0.5377
0.9981 0.7197 0.3518
0.3217 0.7778 0.9505
0.1783 0.0495 0.2222
0.4981 0.3518 0.7197
0.7734 0.5377 0.9391
0.6783 0.2222 0.0495
0.2266 0.4623 0.0609
0.8217 0.9505 0.7778
0.0019 0.2803 0.6482
0.1340 0.6161 0.6632
0.3660 0.3368 0.3839
0.6340 0.6632 0.6161
0.8660 0.3839 0.3368
0.2500 0.1219 0.8781
0.7500 0.8781 0.1219

Calculated E_tot (eV per atom), listed in the same order as above: -5.2048 -4.7137 -8.4255 -6.6810 -4.5259